No. 1
Here is crystalline K2AcBe2S4 at its relaxed geometry from the Alexandria database. Energies are from PBE-GGA.

Values from the calculation:
The total magnetization is 0.601 μB/f.u. The calculated volume comes out at 25.0 Å³ per atom. The energy relative to the elements, uncorrected is -27.6 kcal/mol of atoms. As for the space-group type: No. 12.

Lattice parameters (Å, degrees): 3.766 8.742 8.122 119.14 103.41 90.00
Site moments in Bohr magnetons follow the coordinates.
Sites, in units of the cell vectors:
S (0.529, 0.755, 0.059)  0.01
S (0.783, 0.878, 0.567)  0.01
S (0.471, 0.245, 0.941)  0.01
S (0.217, 0.122, 0.433)  0.01
K (0.878, 0.424, 0.756)  0.00
K (0.122, 0.576, 0.244)  0.00
Be (0.327, 0.040, 0.654)  0.00
Be (0.673, 0.960, 0.346)  0.00
Ac (0.000, 0.000, 0.000)  0.16


No. 2
Here is crystalline PmAsO at its relaxed geometry from the Alexandria database. Energies are from PBE-GGA.

Values from the calculation:
The total magnetization is 0.000 μB/f.u. The calculated volume comes out at 19.6 Å³ per atom. The energy relative to the elements, uncorrected is -40.4 kcal/mol of atoms. For the energy above the most stable polymorph in this dataset, the calculation gives 320 meV per atom. As for the space-group type: No. 69.

Lattice parameters (Å, degrees): 5.340 8.488 5.477 90.00 90.00 108.34
Sites, in units of the cell vectors:
O (0.750, 0.000, 0.250)
O (0.250, 0.000, 0.250)
O (0.750, 0.000, 0.750)
O (0.250, 0.000, 0.750)
As (0.772, 0.544, 0.000)
As (0.272, 0.544, 0.500)
As (0.228, 0.456, 0.000)
As (0.728, 0.456, 0.500)
Pm (0.588, 0.175, 0.000)
Pm (0.912, 0.825, 0.500)
Pm (0.088, 0.175, 0.500)
Pm (0.412, 0.825, 0.000)


No. 3
Here is crystalline K3AuF6 at its relaxed geometry from the Alexandria database. Energies are from PBE-GGA.

Values from the calculation:
The total magnetization is 0.530 μB/f.u. The calculated volume comes out at 20.7 Å³ per atom. The energy relative to the elements, uncorrected is -45.0 kcal/mol of atoms. As for the space-group type: No. 36.

Lattice parameters (Å, degrees): 5.970 8.354 8.354 97.41 90.00 90.00
Site moments in Bohr magnetons follow the coordinates.
Sites, in units of the cell vectors:
F (0.682, 0.641, 0.675)  0.17
F (0.182, 0.675, 0.641)  0.17
F (0.182, 0.359, 0.325)  0.17
F (0.147, 0.104, 0.639)  0.02
F (0.647, 0.639, 0.104)  0.02
F (0.288, 0.035, 0.965)  0.00
F (0.701, 0.193, 0.807)  0.02
F (0.788, 0.965, 0.035)  0.00
F (0.201, 0.807, 0.193)  0.02
F (0.147, 0.361, 0.896)  0.02
F (0.647, 0.896, 0.361)  0.02
F (0.682, 0.325, 0.359)  0.17
K (0.972, 0.642, 0.899)  0.00
K (0.472, 0.358, 0.101)  0.00
K (0.472, 0.899, 0.642)  0.00
K (0.402, 0.395, 0.605)  0.00
K (0.902, 0.605, 0.395)  0.00
K (0.972, 0.101, 0.358)  0.00
Au (0.991, 0.117, 0.883)  0.08
Au (0.491, 0.883, 0.117)  0.08


No. 4
Here is crystalline NaCa6Mg at its relaxed geometry from the Alexandria database. Energies are from PBE-GGA.

Values from the calculation:
The total magnetization is 0.000 μB/f.u. The calculated volume comes out at 38.9 Å³ per atom. For the energy above the most stable polymorph in this dataset, the calculation gives 64 meV per atom. As for the space-group type: No. 2.

Lattice parameters (Å, degrees): 9.585 9.595 6.779 44.96 44.93 59.92
Sites, in units of the cell vectors:
Ca (0.000, 0.500, 0.746)
Ca (0.499, 0.754, 0.747)
Ca (0.501, 0.246, 0.253)
Ca (0.753, 0.000, 0.747)
Ca (0.247, 0.000, 0.253)
Ca (0.000, 0.500, 0.254)
Mg (0.000, 0.000, 0.000)
Na (0.500, 0.500, 0.500)


No. 5
Here is crystalline B2C at its relaxed geometry from the Alexandria database. Energies are from PBE-GGA.

Values from the calculation:
The total magnetization is 0.000 μB/f.u. The calculated volume comes out at 8.9 Å³ per atom. For the energy above the most stable polymorph in this dataset, the calculation gives 146 meV per atom. As for the space-group type: No. 6.

Lattice parameters (Å, degrees): 2.723 4.659 8.384 92.31 90.00 90.00
Sites, in units of the cell vectors:
B (0.500, 0.472, 0.226)
B (0.000, 0.301, 0.550)
B (0.000, 0.665, 0.029)
B (0.500, 0.162, 0.034)
B (0.000, 0.400, 0.350)
B (0.000, 0.052, 0.240)
B (0.500, 0.795, 0.346)
B (0.000, 0.670, 0.532)
C (0.500, 0.837, 0.540)
C (0.000, 0.999, 0.051)
C (0.500, 0.500, 0.039)
C (0.500, 0.148, 0.562)


No. 6
Here is crystalline DyAl2Ge at its relaxed geometry from the Alexandria database. Energies are from PBE-GGA.

Values from the calculation:
The total magnetization is 0.000 μB/f.u. Its total energy is -4.599 eV/atom. The calculated volume comes out at 19.5 Å³ per atom. As for the space-group type: No. 123.

Lattice parameters (Å, degrees): 4.375 4.221 4.221 90.00 90.00 90.00
Sites, in units of the cell vectors:
Al (0.000, 0.000, 0.500)
Al (0.000, 0.500, 0.000)
Ge (0.500, 0.000, 0.000)
Dy (0.500, 0.500, 0.500)